Entry 1:
20
Lattice="5.438 -9.373 0.000 5.438 9.373 0.000 0.000 0.000 6.118" Properties=species:S:1:pos:R:3 comment="PBE Dy3Er6Tm, optimized geometry" space_group="Cmc2_1 (36)" formation_energy_ev_per_fu=1.49 de_polymorph_mev_per_atom=26 pbc="T T T"
Dy 5.438 7.328 3.059
Dy 3.589 2.045 0.687
Dy 3.589 -2.045 3.747
Dy 7.287 2.045 0.687
Dy 7.287 -2.045 3.747
Dy 5.438 -7.328 0.000
Er 2.712 3.942 4.334
Er 1.787 0.883 3.273
Er 1.787 -0.883 0.214
Er 5.438 5.309 5.676
Er 5.438 0.903 3.967
Er 2.712 -3.942 1.275
Er 8.164 3.942 4.334
Er 5.438 -0.903 0.907
Er 5.438 -5.309 2.616
Er 9.088 0.883 3.273
Er 9.088 -0.883 0.214
Er 8.164 -3.942 1.275
Tm 5.438 3.904 2.579
Tm 5.438 -3.904 5.638



Entry 2:
20
Lattice="4.193 -5.179 0.000 4.193 5.179 0.000 -1.997 0.000 6.384" Properties=species:S:1:pos:R:3 comment="PBE CaTlC2O6, optimized geometry" space_group="C2/c (15)" final_energy_ev_per_atom=-6.91 pbc="T T T"
Ca 2.696 4.204 4.788
Ca 3.694 -4.204 1.596
Tl 3.694 1.241 1.596
Tl 2.696 -1.241 4.788
C 0.643 1.475 4.761
C 1.641 -1.475 1.569
C 4.749 1.475 4.814
C 5.747 -1.475 1.622
O 0.819 2.754 4.797
O -0.210 0.922 3.959
O 0.788 -0.922 0.767
O 1.325 0.710 5.578
O 2.324 -0.710 2.386
O 4.572 2.754 4.779
O 1.817 -2.754 1.605
O 4.066 0.710 3.997
O 5.064 -0.710 0.806
O 5.601 0.922 5.617
O 6.600 -0.922 2.425
O 5.571 -2.754 1.587



Entry 3:
4
Lattice="4.272 0.000 0.000 0.000 4.272 0.000 0.000 0.000 3.067" Properties=species:S:1:pos:R:3 comment="PBE Ga2CuOs, optimized geometry" space_group="P4/mmm (123)" formation_energy_ev_per_fu=0.13 pbc="T T T"
Ga 0.000 2.136 0.000
Ga 2.136 0.000 0.000
Cu 0.000 0.000 1.534
Os 2.136 2.136 1.534



Entry 4:
11
Lattice="3.118 1.800 6.581 -3.118 1.800 6.581 0.000 -3.600 6.581" Properties=species:S:1:pos:R:3 comment="PBE Cs2TbGa2O6, optimized geometry" space_group="R-3m (166)" final_energy_ev_per_atom=-5.73 pbc="T T T"
Cs 0.000 0.000 4.099
Cs 0.000 0.000 15.644
Tb 0.000 0.000 0.000
Ga 0.000 0.000 7.933
Ga 0.000 0.000 11.810
O 0.000 -1.787 7.981
O -1.548 0.894 7.981
O -1.548 -0.894 11.762
O 1.548 0.894 7.981
O 1.548 -0.894 11.762
O 0.000 1.787 11.762